(w)
Th2CdPt: optimized geometry, PBE-GGA.

Summary:
Its density of states at the Fermi level is 4.1 states/eV/cell. The value obtained for the density is 12.24 g cm⁻³. As for the spin magnetization: 0.0 μB/f.u.

```
data_Th2CdPt
_symmetry_space_group_name_H-M 'P 4/m m m'
_symmetry_Int_Tables_number 123
_symmetry_space_group_name_Hall '-P 4 2'
_cell_length_a 3.6888
_cell_length_b 3.6888
_cell_length_c 7.6923
_cell_angle_alpha 90.00
_cell_angle_beta 90.00
_cell_angle_gamma 90.00
loop_
_atom_site_label
_atom_site_fract_x
_atom_site_fract_y
_atom_site_fract_z
Th1 0.0000 0.0000 0.2214
Cd1 0.5000 0.5000 0.5000
Pt1 0.5000 0.5000 0.0000
```

***

(x)
Th2CdPt: optimized geometry, PBE-GGA.

Summary:
Its density of states at the Fermi level is 16.1 states/eV/cell. The value obtained for the density is 9.56 g cm⁻³. As for the spin magnetization: 0.0 μB/f.u.

```
data_Th2CdPt
_symmetry_space_group_name_H-M 'R -3 m'
_symmetry_Int_Tables_number 166
_symmetry_space_group_name_Hall '-R 3 2"'
_cell_length_a 3.8335
_cell_length_b 3.8335
_cell_length_c 31.5958
_cell_angle_alpha 90.00
_cell_angle_beta 90.00
_cell_angle_gamma 120.00
loop_
_atom_site_label
_atom_site_fract_x
_atom_site_fract_y
_atom_site_fract_z
Th1 0.0000 0.0000 0.1078
Cd1 0.0000 0.0000 0.0000
Pt1 0.0000 0.0000 0.5000
```

***

Which of them is least stable? Easy: (x).

***

(w)
TiCd2Pt2: optimized geometry, PBE-GGA.

Summary:
Its density of states at the Fermi level is 4.9 states/eV/cell. The value obtained for the density is 11.65 g cm⁻³. As for the spin magnetization: 0.0 μB/f.u.

```
data_TiCd2Pt2
_symmetry_space_group_name_H-M 'P 4/m b m'
_symmetry_Int_Tables_number 127
_symmetry_space_group_name_Hall '-P 4 2ab'
_cell_length_a 6.6598
_cell_length_b 6.6598
_cell_length_c 4.2598
_cell_angle_alpha 90.00
_cell_angle_beta 90.00
_cell_angle_gamma 90.00
loop_
_atom_site_label
_atom_site_fract_x
_atom_site_fract_y
_atom_site_fract_z
Ti1 0.0000 0.0000 0.0000
Cd1 0.1668 0.3332 0.5000
Pt1 0.1406 0.6406 0.0000
```

***

(x)
TiCd2Pt2: optimized geometry, PBE-GGA.

Summary:
Its density of states at the Fermi level is 8.9 states/eV/cell. The value obtained for the density is 12.04 g cm⁻³. As for the spin magnetization: 0.0 μB/f.u.

```
data_TiCd2Pt2
_symmetry_space_group_name_H-M 'P 4/m b m'
_symmetry_Int_Tables_number 127
_symmetry_space_group_name_Hall '-P 4 2ab'
_cell_length_a 7.9195
_cell_length_b 7.9195
_cell_length_c 2.9145
_cell_angle_alpha 90.00
_cell_angle_beta 90.00
_cell_angle_gamma 90.00
loop_
_atom_site_label
_atom_site_fract_x
_atom_site_fract_y
_atom_site_fract_z
Ti1 0.0000 0.0000 0.0000
Cd1 0.1244 0.3756 0.0000
Pt1 0.1758 0.6758 0.5000
```

***

Which of them is least stable? Easy: (x).

***

(w)
Ti3CdPt: optimized geometry, PBE-GGA.

Summary:
Its density of states at the Fermi level is 9.1 states/eV/cell. The value obtained for the density is 6.67 g cm⁻³. As for the spin magnetization: 0.0 μB/f.u.

```
data_Ti3CdPt
_symmetry_space_group_name_H-M 'P m -3 m'
_symmetry_Int_Tables_number 221
_symmetry_space_group_name_Hall '-P 4 2 3'
_cell_length_a 4.8244
_cell_length_b 4.8244
_cell_length_c 4.8244
_cell_angle_alpha 90.00
_cell_angle_beta 90.00
_cell_angle_gamma 90.00
loop_
_atom_site_label
_atom_site_fract_x
_atom_site_fract_y
_atom_site_fract_z
Ti1 0.0000 0.0000 0.5000
Cd1 0.5000 0.5000 0.5000
Pt1 0.0000 0.0000 0.0000
```

***

(x)
Ti3CdPt: optimized geometry, PBE-GGA.

Summary:
Its density of states at the Fermi level is 6.8 states/eV/cell. The value obtained for the density is 6.51 g cm⁻³. As for the spin magnetization: 2.4 μB/f.u.

```
data_Ti3CdPt
_symmetry_space_group_name_H-M 'P m -3 m'
_symmetry_Int_Tables_number 221
_symmetry_space_group_name_Hall '-P 4 2 3'
_cell_length_a 4.8633
_cell_length_b 4.8633
_cell_length_c 4.8633
_cell_angle_alpha 90.00
_cell_angle_beta 90.00
_cell_angle_gamma 90.00
loop_
_atom_site_label
_atom_site_fract_x
_atom_site_fract_y
_atom_site_fract_z
Ti1 0.0000 0.0000 0.5000
Cd1 0.0000 0.0000 0.0000
Pt1 0.5000 0.5000 0.5000
```

***

Which of them is least stable? Easy: (x).

***

(w)
TiCd2Pt: optimized geometry, PBE-GGA.

Summary:
Its density of states at the Fermi level is 9.6 states/eV/cell. The value obtained for the density is 10.90 g cm⁻³. As for the spin magnetization: 0.0 μB/f.u.

```
data_TiCd2Pt
_symmetry_space_group_name_H-M 'F m -3 m'
_symmetry_Int_Tables_number 225
_symmetry_space_group_name_Hall '-F 4 2 3'
_cell_length_a 6.5807
_cell_length_b 6.5807
_cell_length_c 6.5807
_cell_angle_alpha 90.00
_cell_angle_beta 90.00
_cell_angle_gamma 90.00
loop_
_atom_site_label
_atom_site_fract_x
_atom_site_fract_y
_atom_site_fract_z
Ti1 0.0000 0.0000 0.0000
Cd1 0.2500 0.2500 0.2500
Pt1 0.0000 0.0000 0.5000
```

***

(x)
TiCd2Pt: optimized geometry, PBE-GGA.

Summary:
Its density of states at the Fermi level is 12.8 states/eV/cell. The value obtained for the density is 9.45 g cm⁻³. As for the spin magnetization: 0.8 μB/f.u.

```
data_TiCd2Pt
_symmetry_space_group_name_H-M 'I -4 2 d'
_symmetry_Int_Tables_number 122
_symmetry_space_group_name_Hall 'I -4 2bw'
_cell_length_a 7.8219
_cell_length_b 7.8219
_cell_length_c 5.3721
_cell_angle_alpha 90.00
_cell_angle_beta 90.00
_cell_angle_gamma 90.00
loop_
_atom_site_label
_atom_site_fract_x
_atom_site_fract_y
_atom_site_fract_z
Ti1 0.0000 0.0000 0.0000
Cd1 0.2279 0.2500 0.6250
Pt1 0.0000 0.0000 0.5000
```

***

Which of them is least stable? Easy: (x).

***

(w)
Tl2CdPt2: optimized geometry, PBE-GGA.

Summary:
Its density of states at the Fermi level is 4.0 states/eV/cell. The value obtained for the density is 13.21 g cm⁻³. As for the spin magnetization: 0.0 μB/f.u.

```
data_Tl2CdPt2
_symmetry_space_group_name_H-M 'I 4/m m m'
_symmetry_Int_Tables_number 139
_symmetry_space_group_name_Hall '-I 4 2'
_cell_length_a 4.2368
_cell_length_b 4.2368
_cell_length_c 12.7614
_cell_angle_alpha 90.00
_cell_angle_beta 90.00
_cell_angle_gamma 90.00
loop_
_atom_site_label
_atom_site_fract_x
_atom_site_fract_y
_atom_site_fract_z
Tl1 0.0000 0.5000 0.2500
Cd1 0.0000 0.0000 0.0000
Pt1 0.0000 0.0000 0.3994
```

***

(x)
Tl2CdPt2: optimized geometry, PBE-GGA.

Summary:
Its density of states at the Fermi level is 4.7 states/eV/cell. The value obtained for the density is 12.28 g cm⁻³. As for the spin magnetization: 0.0 μB/f.u.

```
data_Tl2CdPt2
_symmetry_space_group_name_H-M 'I 4/m m m'
_symmetry_Int_Tables_number 139
_symmetry_space_group_name_Hall '-I 4 2'
_cell_length_a 3.8072
_cell_length_b 3.8072
_cell_length_c 17.0101
_cell_angle_alpha 90.00
_cell_angle_beta 90.00
_cell_angle_gamma 90.00
loop_
_atom_site_label
_atom_site_fract_x
_atom_site_fract_y
_atom_site_fract_z
Tl1 0.0000 0.0000 0.1197
Cd1 0.0000 0.0000 0.5000
Pt1 0.0000 0.5000 0.2500
```

***

(y)
Tl2CdPt2: optimized geometry, PBE-GGA.

Summary:
Its density of states at the Fermi level is 3.1 states/eV/cell. The value obtained for the density is 14.45 g cm⁻³. As for the spin magnetization: 0.0 μB/f.u.

```
data_Tl2CdPt2
_symmetry_space_group_name_H-M 'P 4/m b m'
_symmetry_Int_Tables_number 127
_symmetry_space_group_name_Hall '-P 4 2ab'
_cell_length_a 7.3943
_cell_length_b 7.3943
_cell_length_c 3.8306
_cell_angle_alpha 90.00
_cell_angle_beta 90.00
_cell_angle_gamma 90.00
loop_
_atom_site_label
_atom_site_fract_x
_atom_site_fract_y
_atom_site_fract_z
Tl1 0.1622 0.3378 0.0000
Cd1 0.0000 0.0000 0.5000
Pt1 0.1396 0.6396 0.5000
```

***

Which of them is least stable? Easy: (w).

***

(w)
Tm3Cd2Pt: optimized geometry, PBE-GGA.

Summary:
Its density of states at the Fermi level is 4.1 states/eV/cell. The value obtained for the density is 11.02 g cm⁻³. As for the spin magnetization: 0.0 μB/f.u.

```
data_Tm3Cd2Pt
_symmetry_space_group_name_H-M 'P -3 m 1'
_symmetry_Int_Tables_number 164
_symmetry_space_group_name_Hall '-P 3 2"'
_cell_length_a 5.0751
_cell_length_b 5.0751
_cell_length_c 6.2619
_cell_angle_alpha 90.00
_cell_angle_beta 90.00
_cell_angle_gamma 120.00
loop_
_atom_site_label
_atom_site_fract_x
_atom_site_fract_y
_atom_site_fract_z
Tm1 0.0000 0.0000 0.0000
Tm2 0.3333 0.6667 0.6440
Cd1 0.3333 0.6667 0.1433
Pt1 0.0000 0.0000 0.5000
```

***

(x)
Tm3Cd2Pt: optimized geometry, PBE-GGA.

Summary:
Its density of states at the Fermi level is 20.7 states/eV/cell. The value obtained for the density is 9.96 g cm⁻³. As for the spin magnetization: 0.0 μB/f.u.

```
data_Tm3Cd2Pt
_symmetry_space_group_name_H-M 'I m m a'
_symmetry_Int_Tables_number 74
_symmetry_space_group_name_Hall '-I 2b 2'
_cell_length_a 7.3367
_cell_length_b 15.8911
_cell_length_c 5.2987
_cell_angle_alpha 90.00
_cell_angle_beta 90.00
_cell_angle_gamma 90.00
loop_
_atom_site_label
_atom_site_fract_x
_atom_site_fract_y
_atom_site_fract_z
Tm1 0.0000 0.2500 0.2461
Tm2 0.2500 0.1139 0.7500
Cd1 0.0000 0.0535 0.2503
Pt1 0.0000 0.2500 0.7461
```

***

Which of them is least stable? Easy: (x).